TaPdRh3 | GGA-PBE | optimized geometry

Lattice parameters (Å, degrees): 4.681 4.681 4.681 90.00 90.00 90.00
Space group Pm-3m (No. 221)
Symmetry-distinct sites (fractional):
Ta (0.000, 0.000, 0.000) [1 per cell]
Pd (0.500, 0.500, 0.500) [1 per cell]
Rh (0.000, 0.000, 0.500) [3 per cell]

energy above the most stable polymorph in this dataset	0.00	eV/f.u.
energy of formation from the pure elements	0.994	eV/atom
volume	20.5	Å³ per atom
magnetic moment	0.11	μB/f.u.